[1]
Below is an optimized crystal structure of Ce2MnCo4P3, with properties calculated at the PBE level.

## Properties
**Energy relative to the elements**: -850 meV/atom
**Space group**: P-4m2 (115)
**Size of the total moment**: 0.25 μB per atom

Lattice parameters (Å, degrees): 3.9029 3.9029 9.3902 90.00 90.00 90.00
Fractional positions:
Ce 0.0000 0.5000 0.2476
Ce 0.5000 0.0000 0.7524
Mn 0.0000 0.0000 0.5000
Co 0.0000 0.0000 0.0000
Co 0.0000 0.5000 0.6260
Co 0.5000 0.0000 0.3740
Co 0.5000 0.5000 0.0000
P 0.0000 0.5000 0.8705
P 0.5000 0.0000 0.1295
P 0.5000 0.5000 0.5000

***

[2]
Below is an optimized crystal structure of CeMnCoP2, with properties calculated at the PBE level.

## Properties
**Energy relative to the elements**: -994 meV/atom
**Space group**: I-4m2 (119)
**Size of the total moment**: 0.00 μB per atom

Lattice parameters (Å, degrees): 5.7901 5.7901 5.7901 141.51 141.51 55.56
Fractional positions:
Ce 0.0000 0.0000 0.0000
Mn 0.2500 0.7500 0.5000
Co 0.7500 0.2500 0.5000
P 0.3595 0.3595 0.0000
P 0.6405 0.6405 0.0000

***

- size of the total moment of number 2 (CeMnCoP2)?
  0.00 μB per atom

***

- Among the records above, which one has the highest energy relative to the elements?
  Ce2MnCo4P3

***

- Among the records above, which one has the lowest size of the total moment?
  CeMnCoP2

***

- Among the records above, which one has the lowest energy relative to the elements?
  CeMnCoP2